This record from the Alexandria database describes a geometry-optimized Mg2PPt structure. The functional is GGA-PBE.

The structure in POSCAR format:
```
Mg2PPt
1.0
-1.939 1.939 4.380
1.939 -1.939 4.380
1.939 1.939 -4.380
Mg P Pt
2 1 1
direct
0.000 0.000 0.000
0.750 0.250 0.500
0.250 0.750 0.500
0.500 0.500 0.000
```

**Space-group type**: I-4m2 (119)
**Size of the total moment**: 0.00 μB per formula unit
**Uncorrected energy**: -4.08 eV/atom

---

This record from the Alexandria database describes a geometry-optimized MgP2Pt structure. The functional is GGA-PBE.

The structure in POSCAR format:
```
MgP2Pt
1.0
-1.751 2.349 4.213
1.751 -2.349 4.213
1.751 2.349 -4.213
Mg P Pt
1 2 1
direct
0.000 0.000 0.000
0.300 0.800 0.500
0.700 0.200 0.500
0.500 0.500 0.000
```

**Space-group type**: Immm (71)
**Size of the total moment**: 0.00 μB per formula unit
**Uncorrected energy**: -4.73 eV/atom

---

This record from the Alexandria database describes a geometry-optimized Mg2PPt2 structure. The functional is GGA-PBE.

The structure in POSCAR format:
```
Mg2PPt2
1.0
6.402 0.000 0.000
0.000 6.402 0.000
0.000 0.000 4.170
Mg P Pt
4 2 4
direct
0.160 0.340 0.000
0.340 0.840 0.000
0.660 0.160 0.000
0.840 0.660 0.000
0.000 0.000 0.500
0.500 0.500 0.500
0.155 0.655 0.500
0.345 0.155 0.500
0.655 0.845 0.500
0.845 0.345 0.500
```

**Space-group type**: P4/mbm (127)
**Size of the total moment**: 0.00 μB per formula unit
**Uncorrected energy**: -4.71 eV/atom

---

This record from the Alexandria database describes a geometry-optimized MgP2Pt structure. The functional is GGA-PBE.

The structure in POSCAR format:
```
MgP2Pt
1.0
-2.996 2.996 4.787
2.996 -2.996 4.787
2.996 2.996 -4.787
Mg P Pt
2 4 2
direct
0.000 0.000 0.000
0.750 0.250 0.500
0.164 0.625 0.039
0.375 0.414 0.539
0.586 0.125 0.961
0.875 0.836 0.461
0.250 0.750 0.500
0.500 0.500 0.000
```

**Space-group type**: I-42d (122)
**Size of the total moment**: 0.00 μB per formula unit
**Uncorrected energy**: -4.84 eV/atom

---

> What is the formula in the third record?

Mg2PPt2

---

> Which value of uncorrected energy does entry 3 give?

-4.71 eV/atom